Entry 1:
A geometry-optimized CoBr3Cl structure, computed with GGA-PBE.

Results
**DOS(E_F)**: 1.41 states/eV per cell
**ΔE to the lowest computed polymorph**: 0.072 eV per atom
**Calculated volume**: 163.9 Å³/f.u.
**Uncorrected formation energy**: -0.213 eV/atom
**SG**: P1
**Total magnetization**: 0.205 μB per atom
**Total energy**: -3.01 eV/atom

The structure in extended XYZ format:
```
10
Lattice="6.499 0.000 0.000 0.962 6.861 0.000 1.176 1.106 7.350" Properties=species:S:1:pos:R:3 pbc="T T T"
Co 0.000 0.000 0.000
Co 3.596 1.461 5.978
Br 2.495 7.477 5.013
Br 3.001 5.787 0.465
Br 4.104 2.150 2.115
Br 5.766 6.657 4.855
Br 5.679 2.467 6.970
Br 6.386 5.361 1.354
Cl 2.370 3.017 7.195
Cl 3.795 2.996 4.334
```

---

Entry 2:
A geometry-optimized CoBrCl2 structure, computed with GGA-PBE.

Results
**DOS(E_F)**: 5.24 states/eV per cell
**ΔE to the lowest computed polymorph**: 0.241 eV per atom
**Calculated volume**: 94.5 Å³/f.u.
**Uncorrected formation energy**: -0.182 eV/atom
**SG**: R-3m
**Total magnetization**: 0.290 μB per atom
**Total energy**: -3.30 eV/atom

The structure in extended XYZ format:
```
4
Lattice="1.667 0.962 9.818 -1.667 0.962 9.818 0.000 -1.925 9.818" Properties=species:S:1:pos:R:3 pbc="T T T"
Co 0.000 0.000 0.000
Br 0.000 0.000 14.726
Cl 0.000 0.000 8.536
Cl 0.000 0.000 20.917
```

---

Entry 3:
A geometry-optimized CoBr3Cl structure, computed with GGA-PBE.

Results
**DOS(E_F)**: 0.92 states/eV per cell
**ΔE to the lowest computed polymorph**: 0.039 eV per atom
**Calculated volume**: 170.6 Å³/f.u.
**Uncorrected formation energy**: -0.246 eV/atom
**SG**: P1
**Total magnetization**: 0.207 μB per atom
**Total energy**: -3.04 eV/atom

The structure in extended XYZ format:
```
10
Lattice="6.427 0.000 0.000 1.839 6.817 0.000 0.117 1.621 7.786" Properties=species:S:1:pos:R:3 pbc="T T T"
Co 0.000 0.000 0.000
Co 2.579 1.564 6.408
Br 1.380 3.589 7.112
Br 1.931 4.200 3.231
Br 3.884 5.904 0.784
Br 2.952 2.115 4.087
Br 4.574 2.777 7.023
Br 7.195 6.374 2.022
Cl 2.401 7.450 5.843
Cl 5.508 6.569 5.764
```

---

Entry 4:
A geometry-optimized CoBrCl3 structure, computed with GGA-PBE.

Results
**DOS(E_F)**: 5.78 states/eV per cell
**ΔE to the lowest computed polymorph**: 0.000 eV per atom
**Calculated volume**: 155.9 Å³/f.u.
**Uncorrected formation energy**: -0.340 eV/atom
**SG**: P1
**Total magnetization**: 0.207 μB per atom
**Total energy**: -3.20 eV/atom

The structure in extended XYZ format:
```
10
Lattice="6.302 0.000 0.000 2.495 6.963 0.000 2.204 3.087 7.106" Properties=species:S:1:pos:R:3 pbc="T T T"
Co 0.000 0.000 0.000
Co 4.856 3.388 5.760
Br 2.789 2.612 4.663
Br 5.338 6.946 4.363
Cl 3.466 4.922 6.761
Cl 4.507 5.978 0.348
Cl 5.349 4.629 3.943
Cl 6.632 4.258 6.886
Cl 8.465 8.742 4.778
Cl 7.912 5.438 1.183
```

---

Entry 5:
A geometry-optimized CoBr3Cl structure, computed with GGA-PBE.

Results
**DOS(E_F)**: 17.49 states/eV per cell
**ΔE to the lowest computed polymorph**: 0.224 eV per atom
**Calculated volume**: 149.7 Å³/f.u.
**Uncorrected formation energy**: -0.061 eV/atom
**SG**: Cmcm
**Total magnetization**: 0.436 μB per atom
**Total energy**: -2.85 eV/atom

The structure in extended XYZ format:
```
10
Lattice="5.509 -2.971 0.000 5.509 2.971 0.000 0.000 0.000 9.144" Properties=species:S:1:pos:R:3 pbc="T T T"
Co 5.509 2.025 6.858
Co 5.509 -2.025 2.286
Br 0.000 0.000 0.000
Br 0.000 0.000 4.572
Br 2.366 0.798 2.286
Br 2.366 -0.798 6.858
Br 8.651 0.798 2.286
Br 8.651 -0.798 6.858
Cl 5.509 0.127 2.286
Cl 5.509 -0.127 6.858
```

---

Entry 6:
A geometry-optimized CoBr3Cl structure, computed with GGA-PBE.

Results
**DOS(E_F)**: 0.00 states/eV per cell
**ΔE to the lowest computed polymorph**: 0.058 eV per atom
**Calculated volume**: 163.7 Å³/f.u.
**Uncorrected formation energy**: -0.227 eV/atom
**SG**: P1
**Total magnetization**: 0.000 μB per atom
**Total energy**: -3.02 eV/atom

The structure in extended XYZ format:
```
10
Lattice="6.628 0.000 0.000 -0.447 7.172 0.000 -3.136 -0.710 6.886" Properties=species:S:1:pos:R:3 pbc="T T T"
Co 0.000 0.000 0.000
Co -0.440 0.131 5.751
Br 1.621 5.944 0.027
Br -0.162 2.176 4.581
Br 0.296 5.990 4.159
Br 4.692 1.449 0.087
Br 1.819 4.678 5.979
Br 4.074 -0.074 4.664
Cl -1.089 6.550 2.048
Cl 1.410 1.737 0.527
```

---

Entry 7:
A geometry-optimized CoBr3Cl structure, computed with GGA-PBE.

Results
**DOS(E_F)**: 0.39 states/eV per cell
**ΔE to the lowest computed polymorph**: 0.075 eV per atom
**Calculated volume**: 207.0 Å³/f.u.
**Uncorrected formation energy**: -0.209 eV/atom
**SG**: R3m
**Total magnetization**: 1.014 μB per atom
**Total energy**: -3.00 eV/atom

The structure in extended XYZ format:
```
5
Lattice="5.130 2.962 2.270 -5.130 2.962 2.270 0.000 -5.924 2.270" Properties=species:S:1:pos:R:3 pbc="T T T"
Co 0.000 0.000 0.000
Br -3.273 -1.890 3.746
Br 3.273 -1.890 3.746
Br 0.000 3.780 3.746
Cl 0.000 0.000 2.134
```

---

Entry 8:
A geometry-optimized CoBr3Cl structure, computed with GGA-PBE.

Results
**DOS(E_F)**: 8.69 states/eV per cell
**ΔE to the lowest computed polymorph**: 0.214 eV per atom
**Calculated volume**: 159.2 Å³/f.u.
**Uncorrected formation energy**: -0.070 eV/atom
**SG**: P2_1/m
**Total magnetization**: 0.460 μB per atom
**Total energy**: -2.86 eV/atom

The structure in extended XYZ format:
```
10
Lattice="3.038 0.000 0.000 0.000 9.609 0.000 -0.287 0.000 10.906" Properties=species:S:1:pos:R:3 pbc="T T T"
Co 0.583 2.402 1.743
Co 2.169 7.207 9.164
Br 0.654 2.402 6.618
Br 0.649 5.527 8.124
Br 0.649 8.887 8.124
Br 2.102 0.722 2.782
Br 2.102 4.082 2.782
Br 2.098 7.207 4.288
Cl 0.650 7.207 10.896
Cl 2.102 2.402 0.010
```

---

Entry 9:
A geometry-optimized CoBr3Cl structure, computed with GGA-PBE.

Results
**DOS(E_F)**: 5.96 states/eV per cell
**ΔE to the lowest computed polymorph**: 0.134 eV per atom
**Calculated volume**: 155.1 Å³/f.u.
**Uncorrected formation energy**: -0.151 eV/atom
**SG**: P2_1/c
**Total magnetization**: 0.199 μB per atom
**Total energy**: -2.95 eV/atom

The structure in extended XYZ format:
```
20
Lattice="11.587 0.000 0.000 0.000 6.194 0.000 -2.862 0.000 8.642" Properties=species:S:1:pos:R:3 pbc="T T T"
Co 0.279 1.482 0.898
Co -1.152 1.616 5.219
Co 9.877 4.579 3.423
Co 8.446 4.713 7.744
Br -0.334 0.366 3.120
Br -1.765 2.731 7.441
Br 0.073 3.576 4.639
Br 1.504 5.716 0.318
Br 0.725 0.734 6.299
Br 2.156 2.363 1.979
Br 6.569 3.831 6.663
Br 8.000 5.460 2.342
Br 7.221 0.478 8.324
Br 8.652 2.619 4.003
Br 10.491 3.463 1.201
Br 9.060 5.828 5.522
Cl 3.775 0.524 3.653
Cl 2.344 2.574 7.974
Cl 6.381 3.621 0.667
Cl 4.950 5.671 4.988
```

---

Entry 10:
A geometry-optimized CoBr3Cl structure, computed with GGA-PBE.

Results
**DOS(E_F)**: 5.60 states/eV per cell
**ΔE to the lowest computed polymorph**: 0.254 eV per atom
**Calculated volume**: 205.2 Å³/f.u.
**Uncorrected formation energy**: -0.031 eV/atom
**SG**: Amm2
**Total magnetization**: 0.084 μB per atom
**Total energy**: -2.83 eV/atom

The structure in extended XYZ format:
```
5
Lattice="3.401 0.000 0.000 0.000 4.682 6.442 0.000 -4.682 6.442" Properties=species:S:1:pos:R:3 pbc="T T T"
Co 0.000 0.000 0.000
Br 0.000 0.000 10.583
Br 1.701 -3.080 6.761
Br 1.701 3.080 6.761
Cl 1.701 0.000 8.273
```

---

Entry 11:
A geometry-optimized CoBr3Cl structure, computed with GGA-PBE.

Results
**DOS(E_F)**: 0.00 states/eV per cell
**ΔE to the lowest computed polymorph**: 0.000 eV per atom
**Calculated volume**: 171.2 Å³/f.u.
**Uncorrected formation energy**: -0.285 eV/atom
**SG**: P1
**Total magnetization**: 0.000 μB per atom
**Total energy**: -3.08 eV/atom

The structure in extended XYZ format:
```
10
Lattice="5.959 0.000 0.000 1.486 6.919 0.000 1.377 -0.207 8.304" Properties=species:S:1:pos:R:3 pbc="T T T"
Co 0.000 0.000 0.000
Co 4.439 6.917 0.000
Br 2.959 5.162 0.686
Br 2.853 0.071 6.408
Br 4.349 4.512 4.850
Br 5.833 1.544 7.625
Br 5.942 6.663 1.846
Br 7.320 5.258 7.151
Cl 1.477 1.345 1.050
Cl 4.374 2.680 3.583
```

---

Entry 12:
A geometry-optimized CoBr3Cl structure, computed with GGA-PBE.

Results
**DOS(E_F)**: 3.36 states/eV per cell
**ΔE to the lowest computed polymorph**: 0.257 eV per atom
**Calculated volume**: 213.3 Å³/f.u.
**Uncorrected formation energy**: -0.028 eV/atom
**SG**: Amm2
**Total magnetization**: 0.600 μB per atom
**Total energy**: -2.82 eV/atom

The structure in extended XYZ format:
```
5
Lattice="3.820 0.000 0.000 0.000 4.126 6.766 0.000 -4.126 6.766" Properties=species:S:1:pos:R:3 pbc="T T T"
Co 0.000 0.000 0.000
Br 0.000 -2.309 5.462
Br 0.000 2.309 5.462
Br 1.910 0.000 1.473
Cl 1.910 0.000 5.430
```

---

- The highest ΔE to the lowest computed polymorph belongs to which entry?
  number 12

---

- Among the records above, which one has the highest DOS(E_F)?
  number 5

---

- Look up the uncorrected formation energy of the eleventh one.
  -0.285 eV/atom